[1]
Crystalline HfPtOF2 at its relaxed geometry. Source: the Alexandria database, functional PBE.

a = 4.350 Å, b = 4.350 Å, c = 3.989 Å
α = 90.00°, β = 90.00°, γ = 90.00°
Space group P4/mmm (No. 123)
Unique sites:
Hf: 0.000 0.000 0.000 x1
Pt: 0.500 0.500 0.500 x1
O: 0.500 0.500 0.000 x1
F: 0.000 0.500 0.500 x2

Energy relative to the elements, uncorrected: -1.397 eV/f.u.
Total magnetic moment: 0.00 μB/f.u.
Crystal system: tetragonal
E above lowest polymorph: 1630 meV/atom

=====

[2]
Crystalline CaScAg3 at its relaxed geometry. Source: the Alexandria database, functional PBE.

a = 5.179 Å, b = 5.179 Å, c = 5.179 Å
α = 90.00°, β = 90.00°, γ = 90.00°
Space group Pm-3m (No. 221)
Unique sites:
Ca: 0.000 0.000 0.000 x1
Sc: 0.500 0.500 0.500 x1
Ag: 0.000 0.500 0.500 x3

Formation energy: 0.31 eV/atom
Total magnetic moment: 0.00 μB/f.u.
Crystal system: cubic
E above lowest polymorph: 0 meV/atom

=====

[3]
Crystalline Na2Al2Ag at its relaxed geometry. Source: the Alexandria database, functional PBE.

a = 3.766 Å, b = 3.766 Å, c = 17.999 Å
α = 90.00°, β = 90.00°, γ = 90.00°
Space group I4/mmm (No. 139)
Unique sites:
Na: 0.000 0.000 0.097 x4
Al: 0.000 0.500 0.250 x4
Ag: 0.000 0.000 0.500 x2

Formation energy: 0.22 eV/atom
Total magnetic moment: 0.00 μB/f.u.
Crystal system: tetragonal
E above lowest polymorph: 123 meV/atom

=====

[4]
Crystalline YSnPt4 at its relaxed geometry. Source: the Alexandria database, functional PBE.

a = 5.006 Å, b = 6.576 Å, c = 7.314 Å
α = 91.66°, β = 101.43°, γ = 103.73°
Space group P-1 (No. 2)
Unique sites:
Y: 0.232 0.049 0.276 x2
Sn: 0.500 0.500 0.000 x1
Sn: 0.500 0.500 0.500 x1
Pt: 0.093 0.548 0.190 x2
Pt: 0.136 0.731 0.545 x2
Pt: 0.290 0.834 0.928 x2
Pt: 0.328 0.174 0.704 x2

Formation energy: -0.72 eV/atom
Total magnetic moment: 0.00 μB/f.u.
Crystal system: triclinic
E above lowest polymorph: 42 meV/atom

=====

[5]
Crystalline CeEr2Pb at its relaxed geometry. Source: the Alexandria database, functional PBE.

a = 3.590 Å, b = 3.590 Å, c = 9.064 Å
α = 90.00°, β = 90.00°, γ = 90.00°
Space group P4/mmm (No. 123)
Unique sites:
Ce: 0.000 0.000 0.000 x1
Er: 0.500 0.500 0.263 x2
Pb: 0.000 0.000 0.500 x1

Formation energy: -0.16 eV/atom
Total magnetic moment: 0.65 μB/f.u.
Crystal system: tetragonal
E above lowest polymorph: 79 meV/atom

=====

[6]
Crystalline HfTcSn2 at its relaxed geometry. Source: the Alexandria database, functional PBE.

a = 4.106 Å, b = 4.106 Å, c = 20.517 Å
α = 90.00°, β = 90.00°, γ = 90.00°
Space group I-42d (No. 122)
Unique sites:
Hf: 0.000 0.000 0.000 x4
Tc: 0.000 0.000 0.500 x4
Sn: 0.246 0.250 0.625 x8

Formation energy: 0.26 eV/atom
Total magnetic moment: 0.00 μB/f.u.
Crystal system: tetragonal
E above lowest polymorph: 213 meV/atom

=====

[7]
Crystalline LiNdCdIn at its relaxed geometry. Source: the Alexandria database, functional PBE.

a = 7.338 Å, b = 7.338 Å, c = 7.338 Å
α = 90.00°, β = 90.00°, γ = 90.00°
Space group F-43m (No. 216)
Unique sites:
Li: 0.000 0.000 0.000 x4
Nd: 0.000 0.000 0.500 x4
Cd: 0.250 0.250 0.250 x4
In: 0.250 0.250 0.750 x4

Formation energy: -0.36 eV/atom
Total magnetic moment: 0.00 μB/f.u.
Crystal system: cubic

=====

[8]
Crystalline ErPdCl at its relaxed geometry. Source: the Alexandria database, functional PBE.

a = 21.428 Å, b = 3.923 Å, c = 7.578 Å
α = 90.00°, β = 94.07°, γ = 90.00°
Space group C2/m (No. 12)
Unique sites:
Er: 0.153 0.000 0.100 x4
Er: 0.157 0.000 0.614 x4
Pd: 0.244 0.500 0.123 x4
Pd: 0.250 0.000 0.375 x4
Cl: 0.070 0.000 0.344 x4
Cl: 0.089 0.500 0.847 x4

Energy relative to the elements, uncorrected: -3.778 eV/f.u.
Total magnetic moment: 0.00 μB/f.u.
Crystal system: monoclinic

=====

[9]
Crystalline KBa2Pb at its relaxed geometry. Source: the Alexandria database, functional PBE.

a = 4.363 Å, b = 5.314 Å, c = 8.971 Å
α = 90.00°, β = 90.00°, γ = 90.00°
Space group Pmm2 (No. 25)
Unique sites:
K: 0.000 0.000 0.000 x1
Ba: 0.000 0.000 0.402 x1
Ba: 0.500 0.500 0.684 x1
Pb: 0.500 0.500 0.266 x1

Formation energy: -0.11 eV/atom
Total magnetic moment: 0.00 μB/f.u.
Crystal system: orthorhombic

=====

[10]
Crystalline YEr2 at its relaxed geometry. Source: the Alexandria database, functional PBE.

a = 6.170 Å, b = 3.567 Å, c = 8.739 Å
α = 90.00°, β = 103.69°, γ = 90.00°
Space group C2/m (No. 12)
Unique sites:
Y: 0.000 0.000 0.000 x2
Er: 0.221 0.000 0.664 x4

Formation energy: 0.00 eV/atom
Total magnetic moment: 0.00 μB/f.u.
Crystal system: monoclinic
E above lowest polymorph: 0 meV/atom

=====

[11]
Crystalline Pr2Al4Ag3Pd at its relaxed geometry. Source: the Alexandria database, functional PBE.

a = 4.402 Å, b = 4.402 Å, c = 10.741 Å
α = 90.00°, β = 90.00°, γ = 90.00°
Space group P-4m2 (No. 115)
Unique sites:
Pr: 0.000 0.500 0.247 x2
Al: 0.000 0.000 0.500 x1
Al: 0.000 0.500 0.876 x2
Al: 0.500 0.500 0.500 x1
Ag: 0.000 0.000 0.000 x1
Ag: 0.000 0.500 0.636 x2
Pd: 0.500 0.500 0.000 x1

Formation energy: -0.46 eV/atom
Total magnetic moment: 0.00 μB/f.u.
Crystal system: tetragonal

=====

[12]
Crystalline NaTaCl2 at its relaxed geometry. Source: the Alexandria database, functional PBE.

a = 3.2968 Å, b = 3.2968 Å, c = 25.7141 Å
α = 90.00°, β = 90.00°, γ = 120.00°
Space group R-3m (No. 166, hexagonal axes)
Unique sites:
Na: 0.0000 0.0000 0.0000 x3
Ta: 0.0000 0.0000 0.5000 x3
Cl: 0.0000 0.0000 0.4057 x6

Energy relative to the elements, uncorrected: -2.375 eV/f.u.
Total magnetic moment: 0.00 μB/f.u.
Crystal system: trigonal
E above lowest polymorph: 0 meV/atom

=====

[13]
Crystalline Ti3Al2Ga4 at its relaxed geometry. Source: the Alexandria database, functional PBE.

a = 12.152 Å, b = 9.835 Å, c = 5.131 Å
α = 90.00°, β = 97.50°, γ = 90.00°
Space group C2/c (No. 15)
Unique sites:
Ti: 0.000 0.059 0.250 x4
Ti: 0.101 0.430 0.060 x8
Al: 0.215 0.076 0.544 x8
Ga: 0.087 0.294 0.546 x8
Ga: 0.160 0.172 0.002 x8

Formation energy: -0.20 eV/atom
Total magnetic moment: 0.00 μB/f.u.
Crystal system: monoclinic

=====

[14]
Crystalline Sr3Sn3Ir at its relaxed geometry. Source: the Alexandria database, functional PBE.

a = 11.920 Å, b = 4.799 Å, c = 15.884 Å
α = 90.00°, β = 109.43°, γ = 90.00°
Space group C2/m (No. 12)
Unique sites:
Sr: 0.019 0.000 0.386 x4
Sr: 0.100 0.000 0.918 x4
Sr: 0.243 0.000 0.238 x4
Sn: 0.042 0.500 0.243 x4
Sn: 0.112 0.500 0.078 x4
Sn: 0.171 0.500 0.540 x4
Ir: 0.242 0.500 0.390 x4

Formation energy: -0.60 eV/atom
Total magnetic moment: 0.00 μB/f.u.
Crystal system: monoclinic

=====

[15]
Crystalline CsErH at its relaxed geometry. Source: the Alexandria database, functional PBE.

a = 14.599 Å, b = 3.712 Å, c = 6.393 Å
α = 90.00°, β = 90.00°, γ = 90.00°
Space group Amm2 (No. 38)
Unique sites:
Cs: 0.136 0.000 0.000 x4
Er: 0.395 0.000 0.555 x4
H: 0.000 0.000 0.662 x2
H: 0.500 0.000 0.885 x2

Electronic total energy: -2.668 eV/atom
Total magnetic moment: 0.11 μB/f.u.
Crystal system: orthorhombic

=====

[16]
Crystalline Sc3MoI at its relaxed geometry. Source: the Alexandria database, functional PBE.

a = 5.151 Å, b = 5.151 Å, c = 5.151 Å
α = 90.00°, β = 90.00°, γ = 90.00°
Space group Pm-3m (No. 221)
Unique sites:
Sc: 0.000 0.000 0.500 x3
Mo: 0.000 0.000 0.000 x1
I: 0.500 0.500 0.500 x1

Energy relative to the elements, uncorrected: 1.923 eV/f.u.
Total magnetic moment: 0.00 μB/f.u.
Crystal system: cubic
E above lowest polymorph: 0 meV/atom

=====

[17]
Crystalline KSbTe2Au at its relaxed geometry. Source: the Alexandria database, functional PBE.

a = 6.351 Å, b = 15.989 Å, c = 6.498 Å
α = 90.00°, β = 90.00°, γ = 90.00°
Space group Cmme (No. 67)
Unique sites:
K: 0.000 0.250 0.242 x4
Sb: 0.250 0.000 0.000 x4
Te: 0.000 0.137 0.732 x8
Au: 0.000 0.000 0.500 x4

Energy relative to the elements, uncorrected: -1.268 eV/f.u.
Total magnetic moment: 0.00 μB/f.u.
Crystal system: orthorhombic
E above lowest polymorph: 0 meV/atom

=====

[18]
Crystalline Mg5In2Ni2Ag at its relaxed geometry. Source: the Alexandria database, functional PBE.

a = 9.991 Å, b = 9.991 Å, c = 3.797 Å
α = 90.00°, β = 90.00°, γ = 90.00°
Space group P4/mbm (No. 127)
Unique sites:
Mg: 0.000 0.500 0.000 x2
Mg: 0.074 0.206 0.000 x8
In: 0.171 0.671 0.500 x4
Ni: 0.125 0.375 0.500 x4
Ag: 0.000 0.000 0.500 x2

Formation energy: -0.11 eV/atom
Total magnetic moment: 0.00 μB/f.u.
Crystal system: tetragonal

=====

[19]
Crystalline ScAs2Rh3 at its relaxed geometry. Source: the Alexandria database, functional PBE.

a = 16.459 Å, b = 3.913 Å, c = 9.640 Å
α = 90.00°, β = 107.99°, γ = 90.00°
Space group C2/m (No. 12)
Unique sites:
Sc: 0.000 0.000 0.000 x2
Sc: 0.148 0.000 0.686 x4
As: 0.045 0.500 0.784 x4
As: 0.138 0.500 0.457 x4
As: 0.192 0.000 0.127 x4
Rh: 0.000 0.500 0.500 x2
Rh: 0.037 0.000 0.321 x4
Rh: 0.113 0.500 0.190 x4
Rh: 0.183 0.500 0.953 x4
Rh: 0.218 0.000 0.390 x4

Formation energy: -0.75 eV/atom
Total magnetic moment: 0.00 μB/f.u.
Crystal system: monoclinic

=====

[20]
Crystalline Ac5Pm6Pr at its relaxed geometry. Source: the Alexandria database, functional PBE.

a = 5.426 Å, b = 10.503 Å, c = 16.287 Å
α = 90.00°, β = 90.00°, γ = 90.00°
Space group Immm (No. 71)
Unique sites:
Ac: 0.000 0.000 0.000 x2
Ac: 0.000 0.000 0.336 x4
Ac: 0.000 0.500 0.333 x4
Pm: 0.000 0.247 0.500 x4
Pm: 0.000 0.251 0.166 x8
Pr: 0.000 0.500 0.000 x2

Formation energy: 0.03 eV/atom
Total magnetic moment: 0.00 μB/f.u.
Crystal system: orthorhombic